VASP calculation (GGA+U) on crystalline InMoO4 at its relaxed geometry.

Cell: 6.0260 6.0260 6.0260 Å, 108.32 108.32 111.80°
Fractional coordinates of all 12 atoms:
In  0.3750  0.6250  0.7500
In  0.6250  0.3750  0.2500
Mo  0.1250  0.8750  0.2500
Mo  0.8750  0.1250  0.7500
O  0.1434  0.6948  0.4487
O  0.2539  0.3052  0.9487
O  0.3052  0.2539  0.4487
O  0.3052  0.8566  0.0513
O  0.6948  0.1434  0.9487
O  0.6948  0.7461  0.5513
O  0.7461  0.6948  0.0513
O  0.8566  0.3052  0.5513

Values from the calculation:
* total magnetization: 2.0 μB/cell
* DFT total energy: -6.31 eV per atom
* volume: 84.1 Å³/f.u.